The following is a PBE calculation of an optimized crystal structure of KRhF4, from the Alexandria database.

Properties
Formation energy (no corrections) (kJ per mole of atoms): -174
Magnetic moment (μB per cell): 2.00
Calculated density (Mg/m³): 2.74
Total energy (eV per atom): -4.457

abc: 6.5715 6.5715 5.5612
angles: 126.22 126.22 90.00
Last column: nearest neighbours and their distance in Å.
Fractional positions:
K1 0.7500 0.2500 0.5000  8 F 2.81
Rh1 0.5000 0.5000 0.0000  4 F 1.92
F1 0.2933 0.7068 0.9999  1 Rh 1.92
F2 0.7066 0.2931 0.9999  1 Rh 1.92
F3 0.2932 0.2934 0.0001  1 Rh 1.92
F4 0.7069 0.7067 0.0001  1 Rh 1.92